NdAl3Pd2 | SCAN | single point on PBEsol structure

Calculated values
Symmetry: P6/mmm, No. 191
V: 17.75 A^3/atom
Formation enthalpy at 0 K: -0.971 eV/atom
Density of states at the Fermi level: 2.69 states/eV per cell
Magnetic moment: 0.00 μB per cell

abc: 4.193 5.416 5.416
angles: 120.00 90.00 90.00
Fractional coordinates of all 6 atoms:
1 Nd 0.000 0.000 0.000
2 Al 0.500 0.500 0.000
3 Al 0.500 0.500 0.500
4 Al 0.500 0.000 0.500
5 Pd 0.000 0.333 0.667
6 Pd 0.000 0.667 0.333